Entry 1:
The following is a DFT calculation (GGA-PBEsol) of a relaxed structure of TaBe2BiC.

E_tot   -31.8 eV/cell

Lattice parameters (Å, degrees): 3.9850 3.9850 4.3200 90.00 90.00 90.00
Atoms (fractional coordinates):
Be 0.0000 0.5000 0.0000
Be 0.5000 0.0000 0.0000
C 0.0000 0.0000 0.0000
Bi 0.5000 0.5000 0.5000
Ta 0.0000 0.0000 0.5000

***

Entry 2:
The following is a DFT calculation (GGA-PBEsol) of a relaxed structure of TiCdSb3.

E_tot   -18.0 eV/cell
Formation energy (no corrections)   5.21 eV per formula unit

Lattice parameters (Å, degrees): 5.3479 5.3479 5.3479 90.00 90.00 90.00
Atoms (fractional coordinates):
Sb 0.5000 0.0000 0.0000
Sb 0.0000 0.0000 0.5000
Sb 0.0000 0.5000 0.0000
Ti 0.5000 0.5000 0.5000
Cd 0.0000 0.0000 0.0000

***

Entry 3:
The following is a DFT calculation (GGA-PBEsol) of a relaxed structure of SiB2Ir2.

E_tot   -39.8 eV/cell
Formation energy (no corrections)   -0.41 eV per formula unit

Lattice parameters (Å, degrees): 3.8983 3.8983 4.6370 114.86 114.86 90.00
Atoms (fractional coordinates):
B 0.3882 0.3882 0.7764
B 0.6118 0.6118 0.2236
Ir 0.7500 0.2500 0.5000
Ir 0.2500 0.7500 0.5000
Si 0.0000 0.0000 0.0000